a) Computed, not measured: a relaxed structure of FeCuTe at the PBE level of DFT.

Cell lengths 4.8456, 3.8284, 11.8994 Å; angles 116.86, 146.78, 62.84 degrees
With the nearest neighbours (Å) after each atom.
Element x y z (fractional)
1 Fe 0.8036 0.7504 0.1294  2 Fe 2.54-2.61, 4 Te 2.61-2.74, 1 Cu 2.64
2 Fe 0.1964 0.2496 0.8706  2 Fe 2.54-2.61, 4 Te 2.61-2.74, 1 Cu 2.64
3 Cu 0.5946 0.1281 0.4564  2 Cu 2.49-2.56, 3 Te 2.62-2.77, 1 Fe 2.64
4 Cu 0.4054 0.8719 0.5436  2 Cu 2.49-2.56, 3 Te 2.62-2.77, 1 Fe 2.64
5 Te 0.3815 0.5036 0.7679  4 Fe 2.61-2.74, 3 Cu 2.62-2.77
6 Te 0.6185 0.4964 0.2321  4 Fe 2.61-2.74, 3 Cu 2.62-2.77

Summary:
The total moment is 5.0 Bohr magnetons per cell. As for the space group: P-1 (2). The calculated volume is 17.75 A^3/atom. The mass density is 7.70 Mg/m³.

=====

b) Computed, not measured: a relaxed structure of FeCuTe at the PBE level of DFT.

Cell lengths 4.6851, 4.6851, 4.6851 Å; angles 136.88, 136.88, 62.63 degrees
With the nearest neighbours (Å) after each atom.
Element x y z (fractional)
1 Cu 0.9961 0.9961 0.0000  5 Te 2.61-2.81, 5 Fe 2.70-2.76
2 Fe 0.3335 0.3335 0.0000  5 Te 2.70-2.76, 5 Cu 2.70-2.76
3 Te 0.6704 0.6704 0.0000  5 Cu 2.61-2.81, 5 Fe 2.70-2.76

Summary:
The total moment is 2.0 Bohr magnetons per cell. As for the space group: I4mm (107). The calculated volume is 15.82 A^3/atom. The mass density is 8.64 Mg/m³.

=====

Most stable: a)

=====

a) Computed, not measured: a relaxed structure of FeCuTe at the PBE level of DFT.

Cell lengths 4.0485, 4.0485, 5.8255 Å; angles 90.00, 90.00, 90.00 degrees
With the nearest neighbours (Å) after each atom.
Element x y z (fractional)
1 Te 0.0000 0.5000 0.2339  4 Fe 2.55, 1 Cu 2.64
2 Te 0.5000 0.0000 0.7661  4 Fe 2.55, 1 Cu 2.64
3 Fe 0.0000 0.0000 0.5000  4 Te 2.55, 4 Cu 2.60
4 Fe 0.5000 0.5000 0.5000  4 Te 2.55, 4 Cu 2.60
5 Cu 0.0000 0.5000 0.7802  4 Fe 2.60, 5 Te 2.64-2.86
6 Cu 0.5000 0.0000 0.2198  4 Fe 2.60, 5 Te 2.64-2.86

Summary:
The total moment is 0.0 Bohr magnetons per cell. As for the space group: P4/nmm (129). The calculated volume is 15.91 A^3/atom. The mass density is 8.59 Mg/m³.

=====

b) Computed, not measured: a relaxed structure of FeCuTe at the PBE level of DFT.

Cell lengths 4.2001, 4.2001, 4.2001 Å; angles 60.00, 60.00, 60.00 degrees
With the nearest neighbours (Å) after each atom.
Element x y z (fractional)
1 Cu 0.5000 0.5000 0.5000  4 Fe 2.57
2 Fe 0.7500 0.7500 0.7500  4 Te 2.57, 4 Cu 2.57
3 Te 0.0000 0.0000 0.0000  4 Fe 2.57

Summary:
The total moment is 2.2 Bohr magnetons per cell. As for the space group: F-43m (216). The calculated volume is 17.46 A^3/atom. The mass density is 7.83 Mg/m³.

=====

Most stable: a)

=====

a) Computed, not measured: a relaxed structure of FeCuTe at the PBE level of DFT.

Cell lengths 4.1031, 4.1031, 3.6458 Å; angles 90.00, 90.00, 120.00 degrees
With the nearest neighbours (Å) after each atom.
Element x y z (fractional)
1 Cu 0.0000 0.0000 0.0921  3 Fe 2.42
2 Fe 0.6667 0.3333 0.2303  3 Cu 2.42
3 Te 0.3333 0.6667 0.6777  3 Cu 2.81, 6 Fe 2.88-3.11

Summary:
The total moment is 3.1 Bohr magnetons per cell. As for the space group: P3m1 (156). The calculated volume is 17.72 A^3/atom. The mass density is 7.72 Mg/m³.

=====

b) Computed, not measured: a relaxed structure of FeCuTe at the PBE level of DFT.

Cell lengths 3.2669, 3.2669, 5.7792 Å; angles 90.00, 90.00, 120.00 degrees
With the nearest neighbours (Å) after each atom.
Element x y z (fractional)
1 Cu 0.0000 0.0000 0.0325  3 Fe 2.54
2 Fe 0.6667 0.3333 0.3276  3 Cu 2.54, 3 Te 2.61
3 Te 0.3333 0.6667 0.6399  3 Fe 2.61

Summary:
The total moment is 2.3 Bohr magnetons per cell. As for the space group: P3m1 (156). The calculated volume is 17.81 A^3/atom. The mass density is 7.68 Mg/m³.

=====

Most stable: a)

=====

a) Computed, not measured: a relaxed structure of Ti4FeCu at the PBE level of DFT.

Cell lengths 2.9550, 2.9550, 10.1983 Å; angles 90.00, 90.00, 90.00 degrees
With the nearest neighbours (Å) after each atom.
Element x y z (fractional)
1 Ti 0.5000 0.5000 0.8548  4 Fe 2.56, 4 Ti 2.81
2 Ti 0.5000 0.5000 0.1452  4 Fe 2.56, 4 Ti 2.81
3 Ti 0.0000 0.0000 0.6704  4 Cu 2.72, 8 Ti 2.81-2.96
4 Ti 0.0000 0.0000 0.3296  4 Cu 2.72, 8 Ti 2.81-2.96
5 Fe 0.0000 0.0000 0.0000  8 Ti 2.56
6 Cu 0.5000 0.5000 0.5000  8 Ti 2.72, 4 Cu 2.96

Summary:
The total moment is 0.0 Bohr magnetons per cell. As for the space group: P4/mmm (123). The calculated volume is 14.84 A^3/atom. The mass density is 5.80 Mg/m³.

=====

b) Computed, not measured: a relaxed structure of Ti4FeCu at the PBE level of DFT.

Cell lengths 4.3435, 4.3494, 6.6698 Å; angles 70.91, 71.00, 60.05 degrees
With the nearest neighbours (Å) after each atom.
Element x y z (fractional)
1 Ti 0.6363 0.6364 0.0910  1 Cu 2.53, 3 Fe 2.57-2.58, 3 Ti 2.75
2 Ti 0.3637 0.3636 0.9090  1 Cu 2.53, 3 Fe 2.57-2.58, 3 Ti 2.75
3 Ti 0.1188 0.1182 0.6443  1 Fe 2.20
4 Ti 0.8812 0.8818 0.3557  1 Fe 2.20
5 Fe 0.0000 0.0000 0.0000  2 Ti 2.20
6 Cu 0.5000 0.5000 0.5000  8 Ti 2.53-2.67

Summary:
The total moment is 0.0 Bohr magnetons per cell. As for the space group: C2/m (12). The calculated volume is 16.85 A^3/atom. The mass density is 5.10 Mg/m³.

=====

Most stable: a)

=====

a) Computed, not measured: a relaxed structure of TiFe2Cu2 at the PBE level of DFT.

Cell lengths 7.0323, 7.0323, 2.6113 Å; angles 90.00, 90.00, 90.00 degrees
With the nearest neighbours (Å) after each atom.
Element x y z (fractional)
1 Fe 0.3809 0.8809 0.0000  3 Fe 2.37-2.61, 6 Cu 2.42-2.49
2 Fe 0.8809 0.6191 0.0000  3 Fe 2.37-2.61, 6 Cu 2.42-2.49
3 Fe 0.6191 0.1191 0.0000  3 Fe 2.37-2.61, 6 Cu 2.42-2.49
4 Fe 0.1191 0.3809 0.0000  3 Fe 2.37-2.61, 6 Cu 2.42-2.49
5 Cu 0.1764 0.6764 0.5000  6 Fe 2.42-2.49, 2 Cu 2.61
6 Cu 0.6764 0.8236 0.5000  6 Fe 2.42-2.49, 2 Cu 2.61
7 Cu 0.8236 0.3236 0.5000  6 Fe 2.42-2.49, 2 Cu 2.61
8 Cu 0.3236 0.1764 0.5000  6 Fe 2.42-2.49, 2 Cu 2.61
9 Ti 0.0000 0.0000 0.0000  2 Ti 2.61, 4 Fe 2.81, 8 Cu 2.90
10 Ti 0.5000 0.5000 0.0000  2 Ti 2.61, 4 Fe 2.81, 8 Cu 2.90

Summary:
The total moment is 7.4 Bohr magnetons per cell. As for the space group: P4/mbm (127). The calculated volume is 12.91 A^3/atom. The mass density is 7.37 Mg/m³.

=====

b) Computed, not measured: a relaxed structure of TiFe2Cu2 at the PBE level of DFT.

Cell lengths 7.0592, 7.0592, 2.6185 Å; angles 90.00, 90.00, 90.00 degrees
With the nearest neighbours (Å) after each atom.
Element x y z (fractional)
1 Fe 0.1744 0.6744 0.5000  6 Cu 2.41-2.50, 2 Fe 2.62
2 Fe 0.6744 0.8256 0.5000  6 Cu 2.41-2.50, 2 Fe 2.62
3 Fe 0.8256 0.3256 0.5000  6 Cu 2.41-2.50, 2 Fe 2.62
4 Fe 0.3256 0.1744 0.5000  6 Cu 2.41-2.50, 2 Fe 2.62
5 Cu 0.3774 0.8774 0.0000  6 Fe 2.41-2.50, 3 Cu 2.45-2.62
6 Cu 0.8774 0.6226 0.0000  6 Fe 2.41-2.50, 3 Cu 2.45-2.62
7 Cu 0.6226 0.1226 0.0000  6 Fe 2.41-2.50, 3 Cu 2.45-2.62
8 Cu 0.1226 0.3774 0.0000  6 Fe 2.41-2.50, 3 Cu 2.45-2.62
9 Ti 0.0000 0.0000 0.0000  2 Ti 2.62, 4 Cu 2.80, 8 Fe 2.92
10 Ti 0.5000 0.5000 0.0000  2 Ti 2.62, 4 Cu 2.80, 8 Fe 2.92

Summary:
The total moment is 7.5 Bohr magnetons per cell. As for the space group: P4/mbm (127). The calculated volume is 13.05 A^3/atom. The mass density is 7.30 Mg/m³.

=====

Most stable: a)

=====

a) Computed, not measured: a relaxed structure of Tl2FeCu at the PBE level of DFT.

Cell lengths 4.6320, 4.6320, 5.9646 Å; angles 78.09, 78.09, 39.46 degrees
With the nearest neighbours (Å) after each atom.
Element x y z (fractional)
1 Cu 0.7500 0.7500 0.7500  6 Tl 2.81-2.91, 2 Cu 3.13
2 Fe 0.2500 0.2500 0.2500  6 Tl 2.84-2.89, 2 Fe 3.13
3 Tl 0.0020 0.0020 0.9988  3 Cu 2.81-2.91, 3 Fe 2.84-2.89, 2 Tl 3.13
4 Tl 0.4980 0.4980 0.5012  3 Cu 2.81-2.91, 3 Fe 2.84-2.89, 2 Tl 3.13

Summary:
The total moment is 2.9 Bohr magnetons per cell. As for the space group: C2/m (12). The calculated volume is 19.84 A^3/atom. The mass density is 11.05 Mg/m³.

=====

b) Computed, not measured: a relaxed structure of Tl2FeCu at the PBE level of DFT.

Cell lengths 5.6660, 5.6660, 5.6660 Å; angles 139.06, 139.06, 59.28 degrees
With the nearest neighbours (Å) after each atom.
Element x y z (fractional)
1 Cu 0.5000 0.5000 0.0000  4 Tl 2.80
2 Fe 0.7500 0.2500 0.5000  4 Tl 2.80
3 Tl 0.0000 0.0000 0.0000  4 Cu 2.80
4 Tl 0.2500 0.7500 0.5000  4 Fe 2.80

Summary:
The total moment is 2.5 Bohr magnetons per cell. As for the space group: I-4m2 (119). The calculated volume is 19.34 A^3/atom. The mass density is 11.34 Mg/m³.

=====

c) Computed, not measured: a relaxed structure of Tl2FeCu at the PBE level of DFT.

Cell lengths 4.8726, 4.8726, 4.8726 Å; angles 60.00, 60.00, 60.00 degrees
With the nearest neighbours (Å) after each atom.
Element x y z (fractional)
1 Cu 0.5000 0.5000 0.5000  4 Tl 2.98, 4 Fe 2.98
2 Fe 0.7500 0.7500 0.7500  4 Tl 2.98, 4 Cu 2.98
3 Tl 0.0000 0.0000 0.0000  4 Tl 2.98, 4 Fe 2.98
4 Tl 0.2500 0.2500 0.2500  4 Tl 2.98, 4 Cu 2.98

Summary:
The total moment is 3.0 Bohr magnetons per cell. As for the space group: F-43m (216). The calculated volume is 20.45 A^3/atom. The mass density is 10.72 Mg/m³.

=====

Most stable: b)